# AcPrHoZn (PBE, optimized geometry)
# Raw total energy: -3.52 eV/atom
# ΔH_f (0 K): 0.17 eV per atom
data_AcPrHoZn
_chemical_formula_sum 'Ac4 Pr4 Ho4 Zn4'
_cell_length_a 7.916
_cell_length_b 7.916
_cell_length_c 7.916
_cell_angle_alpha 90.00
_cell_angle_beta 90.00
_cell_angle_gamma 90.00
_symmetry_space_group_name_H-M 'F -4 3 m'
_symmetry_Int_Tables_number 216
_symmetry_space_group_name_Hall 'F -4 2 3'
loop_
_atom_site_label
_atom_site_type_symbol
_atom_site_fract_x
_atom_site_fract_y
_atom_site_fract_z
Ac1 Ac 0.000 0.000 0.000
Pr1 Pr 0.250 0.250 0.750
Ho1 Ho 0.250 0.250 0.250
Zn1 Zn 0.000 0.000 0.500